Record 1
{"formula": "Mn3FeB", "functional": "PBE-GGA", "state": "optimized geometry", "lattice_angstrom": [[-1.1069, 1.8331, -3.6407], [-0.3024, -3.7991, -1.8209], [-4.0649, -0.2165, 1.1269]], "species": ["Fe", "B", "Mn", "Mn", "Mn"], "fractional_positions": [[0.0000, 0.0000, 0.0000], [0.5000, 0.5000, 0.5000], [0.0000, 0.5000, 0.0000], [0.0000, 0.0000, 0.5000], [0.5000, 0.0000, 0.0000]], "formation_energy_ev_per_atom": 1.644, "de_polymorph_mev_per_atom": 1315}

***

Record 2
{"formula": "Mn2Fe2B", "functional": "PBE-GGA", "state": "optimized geometry", "lattice_angstrom": [[6.4162, 0.0000, 0.0000], [0.0000, 6.4162, 0.0000], [0.0000, 0.0000, 2.5947]], "species": ["Mn", "Fe", "Fe", "Mn", "Fe", "Fe", "Mn", "B", "B", "Mn"], "fractional_positions": [[0.6704, 0.1704, 0.0000], [0.6285, 0.8715, 0.5000], [0.3715, 0.1285, 0.5000], [0.8296, 0.6704, 0.0000], [0.1285, 0.6285, 0.5000], [0.8715, 0.3715, 0.5000], [0.3296, 0.8296, 0.0000], [0.0000, 0.0000, 0.0000], [0.5000, 0.5000, 0.0000], [0.1704, 0.3296, 0.0000]], "formation_energy_ev_per_atom": 0.708, "de_polymorph_mev_per_atom": 0}

***

Record 3
{"formula": "MnFeB", "functional": "PBE-GGA", "state": "optimized geometry", "lattice_angstrom": [[2.9866, 0.0000, 0.0000], [0.0000, 4.6805, 0.1164], [0.0000, -0.2958, 4.6726]], "species": ["B", "Mn", "Fe", "Fe", "Mn", "B"], "fractional_positions": [[0.0000, 0.0000, 0.0000], [0.5000, 0.2022, 0.7978], [0.0000, 0.7009, 0.7009], [0.0000, 0.2991, 0.2991], [0.5000, 0.7978, 0.2022], [0.5000, 0.5000, 0.5000]], "formation_energy_ev_per_atom": 0.028}

***

What did the second record say?
{"formula": "Mn2Fe2B", "functional": "PBE-GGA", "state": "optimized geometry", "lattice_angstrom": [[6.4162, 0.0000, 0.0000], [0.0000, 6.4162, 0.0000], [0.0000, 0.0000, 2.5947]], "species": ["Mn", "Fe", "Fe", "Mn", "Fe", "Fe", "Mn", "B", "B", "Mn"], "fractional_positions": [[0.6704, 0.1704, 0.0000], [0.6285, 0.8715, 0.5000], [0.3715, 0.1285, 0.5000], [0.8296, 0.6704, 0.0000], [0.1285, 0.6285, 0.5000], [0.8715, 0.3715, 0.5000], [0.3296, 0.8296, 0.0000], [0.0000, 0.0000, 0.0000], [0.5000, 0.5000, 0.0000], [0.1704, 0.3296, 0.0000]], "formation_energy_ev_per_atom": 0.708, "de_polymorph_mev_per_atom": 0}